Record 1
A plane-wave DFT calculation with GGA-PBE was carried out for a relaxed BPd3Pt crystal.

Computed properties:
Symmetry   Immm, No. 71

a b c (Å): 5.8125 5.8125 5.8125
angles (deg): 120.35 117.50 91.88
Closest atoms and distances in Å follow each position.
Fractional coordinates of all 10 atoms:
1 B 0.2457 0.0000 0.2457  4 Pd 2.08-2.12, 2 Pt 2.11
2 B 0.7543 0.0000 0.7543  4 Pd 2.08-2.12, 2 Pt 2.11
3 Pd 0.0068 0.2573 0.7495  1 B 2.08
4 Pd 0.4922 0.7427 0.7495  1 B 2.08
5 Pd 0.5000 0.2526 0.7526  2 B 2.12
6 Pd 0.5000 0.7474 0.2474  2 B 2.12
7 Pd 0.5078 0.2573 0.2505  1 B 2.08
8 Pd 0.9932 0.7427 0.2505  1 B 2.08
9 Pt 0.0000 0.2595 0.2595  2 B 2.11
10 Pt 0.0000 0.7405 0.7405  2 B 2.11

Record 2
A plane-wave DFT calculation with GGA-PBE was carried out for a relaxed BPdPt crystal.

Computed properties:
Symmetry   Pmn2_1, No. 31

a b c (Å): 3.2214 4.5589 5.3771
angles (deg): 90.00 90.00 90.00
Closest atoms and distances in Å follow each position.
Fractional coordinates of all 6 atoms:
1 B 0.0000 0.2349 0.0000  3 Pt 2.10-2.13, 3 Pd 2.19-2.20
2 B 0.5000 0.7651 0.5000  3 Pt 2.10-2.13, 3 Pd 2.19-2.20
3 Pd 0.0000 0.5017 0.3399  3 B 2.19-2.20
4 Pd 0.5000 0.4983 0.8399  3 B 2.19-2.20
5 Pt 0.0000 0.9951 0.6596  3 B 2.10-2.13
6 Pt 0.5000 0.0049 0.1596  3 B 2.10-2.13

Record 3
A plane-wave DFT calculation with GGA-PBE was carried out for a relaxed B4PdPt crystal.

Computed properties:
Symmetry   Immm, No. 71
Energy above the lowest structure with this stoichiometry   0.000 eV per atom

a b c (Å): 4.8844 4.8844 4.8844
angles (deg): 147.32 108.81 80.55
Closest atoms and distances in Å follow each position.
Fractional coordinates of all 6 atoms:
1 B 0.0996 0.2499 0.8497  3 B 1.71-1.78
2 B 0.4002 0.2499 0.1503  3 B 1.71-1.78
3 B 0.5998 0.7501 0.8497  3 B 1.71-1.78
4 B 0.9004 0.7501 0.1503  3 B 1.71-1.78
5 Pd 0.5000 0.0000 0.5000  12 B 2.47-2.72, 2 Pd 2.75
6 Pt 0.0000 0.5000 0.5000  12 B 2.47-2.73, 2 Pt 2.75

Record 4
A plane-wave DFT calculation with GGA-PBE was carried out for a relaxed BPdPt crystal.

Computed properties:
Symmetry   P2/m, No. 10

a b c (Å): 4.6228 3.2052 5.3146
angles (deg): 90.00 91.81 90.00
Closest atoms and distances in Å follow each position.
Fractional coordinates of all 6 atoms:
1 B 0.0000 0.0000 0.0000  2 Pt 2.12, 4 Pd 2.15
2 B 0.5000 0.5000 0.5000  4 Pt 2.13, 2 Pd 2.19
3 Pd 0.2469 0.5000 0.8419  3 B 2.15-2.19
4 Pd 0.7531 0.5000 0.1581  3 B 2.15-2.19
5 Pt 0.2507 0.0000 0.3405  3 B 2.12-2.13
6 Pt 0.7493 0.0000 0.6595  3 B 2.12-2.13

Record 5
A plane-wave DFT calculation with GGA-PBE was carried out for a relaxed BPd2Pt crystal.

Computed properties:
Symmetry   F-43m, No. 216

a b c (Å): 4.2490 4.2490 4.2490
angles (deg): 60.00 60.00 60.00
Closest atoms and distances in Å follow each position.
Fractional coordinates of all 4 atoms:
1 B 0.0000 0.0000 0.0000  4 Pd 2.60, 4 Pt 2.60
2 Pd 0.5000 0.5000 0.5000  4 Pd 2.60, 4 Pt 2.60
3 Pd 0.7500 0.7500 0.7500  4 Pd 2.60, 4 B 2.60
4 Pt 0.2500 0.2500 0.2500  4 B 2.60, 4 Pd 2.60

Record 6
A plane-wave DFT calculation with GGA-PBE was carried out for a relaxed Sr3B2Pd6Pt crystal.

Computed properties:
Symmetry   R-3m, No. 166

a b c (Å): 8.4449 8.4449 8.4449
angles (deg): 39.04 39.04 39.04
Closest atoms and distances in Å follow each position.
Fractional coordinates of all 12 atoms:
1 Sr 0.0000 0.0000 0.0000  12 Pd 3.18, 6 B 3.26, 2 Sr 3.39
2 Sr 0.1450 0.1450 0.1450  3 Pt 3.30, 9 Pd 3.36-3.41, 4 Sr 3.39-3.41
3 Sr 0.8550 0.8550 0.8550  3 Pt 3.30, 9 Pd 3.36-3.41, 4 Sr 3.39-3.41
4 B 0.3307 0.3307 0.3307  6 Pd 2.17-2.22
5 B 0.6693 0.6693 0.6693  6 Pd 2.17-2.22
6 Pd 0.0669 0.5611 0.5611  2 B 2.17-2.22
7 Pd 0.4389 0.4389 0.9331  2 B 2.17-2.22
8 Pd 0.4389 0.9331 0.4389  2 B 2.17-2.22
9 Pd 0.5611 0.0669 0.5611  2 B 2.17-2.22
10 Pd 0.5611 0.5611 0.0669  2 B 2.17-2.22
11 Pd 0.9331 0.4389 0.4389  2 B 2.17-2.22
12 Pt 0.5000 0.5000 0.5000  6 Pd 2.91

Record 7
A plane-wave DFT calculation with GGA-PBE was carried out for a relaxed PuBPd crystal.

Computed properties:
Symmetry   F-43m, No. 216
Energy above the lowest structure with this stoichiometry   0.326 eV per atom

a b c (Å): 4.3019 4.3019 4.3019
angles (deg): 60.00 60.00 60.00
Closest atoms and distances in Å follow each position.
Fractional coordinates of all 3 atoms:
1 Pu 0.0000 0.0000 0.0000  4 B 2.63, 4 Pd 2.63
2 B 0.7500 0.7500 0.7500  4 Pu 2.63
3 Pd 0.2500 0.2500 0.2500  4 Pu 2.63

Record 8
A plane-wave DFT calculation with GGA-PBE was carried out for a relaxed PuBPd crystal.

Computed properties:
Symmetry   F-43m, No. 216
Energy above the lowest structure with this stoichiometry   0.000 eV per atom

a b c (Å): 4.3714 4.3714 4.3714
angles (deg): 60.00 60.00 60.00
Closest atoms and distances in Å follow each position.
Fractional coordinates of all 3 atoms:
1 Pu 0.0000 0.0000 0.0000  4 Pd 2.68
2 B 0.5000 0.5000 0.5000  4 Pd 2.68
3 Pd 0.7500 0.7500 0.7500  4 B 2.68, 4 Pu 2.68

Record 9
A plane-wave DFT calculation with GGA-PBE was carried out for a relaxed Rb2B2Pd crystal.

Computed properties:
Symmetry   P4/mbm, No. 127

a b c (Å): 9.8270 9.8270 2.9152
angles (deg): 90.00 90.00 90.00
Closest atoms and distances in Å follow each position.
Fractional coordinates of all 10 atoms:
1 Rb 0.2208 0.2792 0.0000  2 Rb 2.92, 3 B 3.08-3.17
2 Rb 0.2792 0.7792 0.0000  2 Rb 2.92, 3 B 3.08-3.17
3 Rb 0.7208 0.2208 0.0000  2 Rb 2.92, 3 B 3.08-3.17
4 Rb 0.7792 0.7208 0.0000  2 Rb 2.92, 3 B 3.08-3.17
5 B 0.0576 0.5576 0.0000  1 B 1.60
6 B 0.4424 0.0576 0.0000  1 B 1.60
7 B 0.5576 0.9424 0.0000  1 B 1.60
8 B 0.9424 0.4424 0.0000  1 B 1.60
9 Pd 0.0000 0.0000 0.5000  2 Pd 2.92
10 Pd 0.5000 0.5000 0.5000  2 Pd 2.92

Record 10
A plane-wave DFT calculation with GGA-PBE was carried out for a relaxed RbBPd crystal.

Computed properties:
Symmetry   F-43m, No. 216
Energy above the lowest structure with this stoichiometry   0.604 eV per atom

a b c (Å): 4.9116 4.9116 4.9116
angles (deg): 60.00 60.00 60.00
Closest atoms and distances in Å follow each position.
Fractional coordinates of all 3 atoms:
1 Rb 0.0000 0.0000 0.0000  4 B 3.01, 4 Pd 3.01
2 B 0.7500 0.7500 0.7500  4 Rb 3.01
3 Pd 0.2500 0.2500 0.2500  4 Rb 3.01

Record 11
A plane-wave DFT calculation with GGA-PBE was carried out for a relaxed RbBPd crystal.

Computed properties:
Symmetry   F-43m, No. 216
Energy above the lowest structure with this stoichiometry   0.045 eV per atom

a b c (Å): 4.6481 4.6481 4.6481
angles (deg): 60.00 60.00 60.00
Closest atoms and distances in Å follow each position.
Fractional coordinates of all 3 atoms:
1 Rb 0.0000 0.0000 0.0000  4 Pd 2.85
2 B 0.5000 0.5000 0.5000  4 Pd 2.85
3 Pd 0.7500 0.7500 0.7500  4 Rb 2.85, 4 B 2.85

Record 12
A plane-wave DFT calculation with GGA-PBE was carried out for a relaxed RbBPd crystal.

Computed properties:
Symmetry   F-43m, No. 216
Energy above the lowest structure with this stoichiometry   0.000 eV per atom

a b c (Å): 4.6065 4.6065 4.6065
angles (deg): 60.00 60.00 60.00
Closest atoms and distances in Å follow each position.
Fractional coordinates of all 3 atoms:
1 Rb 0.0000 0.0000 0.0000  4 B 2.82
2 B 0.7500 0.7500 0.7500  4 Pd 2.82, 4 Rb 2.82
3 Pd 0.5000 0.5000 0.5000  4 B 2.82

no.,volume (Å³ per cell),total energy (eV/f.u.)
1,141,-29.40
2,79,-18.75
3,58,-35.57
4,79,-18.78
5,54,-21.33
6,215,-62.92
7,56,-23.43
8,59,-24.41
9,282,-13.65
10,84,-6.78
11,71,-8.46
12,69,-8.60